A plane-wave DFT calculation with PBE was carried out for crystalline CaLa2BiC at its relaxed geometry.

Unit cell a=5.2280 b=5.2280 c=5.0699 alpha=90.00 beta=90.00 gamma=90.00
With the nearest neighbours (Å) after each atom.
Sites, in units of the cell vectors:
1 Ca 0.0000 0.0000 0.0000  2 C 2.53
2 La 0.0000 0.5000 0.5000  2 C 2.61
3 La 0.5000 0.0000 0.5000  2 C 2.61
4 Bi 0.5000 0.5000 0.0000  8 La 3.64, 4 Ca 3.70
5 C 0.0000 0.0000 0.5000  2 Ca 2.53, 4 La 2.61

Output
- Energy relative to the elements: -491 meV/atom
- Space-group type: P4/mmm
- Magnetic moment: 0.0 μB/cell

A plane-wave DFT calculation with PBE was carried out for crystalline Li2CaBiC at its relaxed geometry.

Unit cell a=5.1349 b=5.1349 c=6.1682 alpha=90.00 beta=90.00 gamma=90.00
With the nearest neighbours (Å) after each atom.
Sites, in units of the cell vectors:
1 Li 0.0000 0.5000 0.0000  2 Bi 2.57
2 Li 0.5000 0.0000 0.0000  2 Bi 2.57
3 Ca 0.0000 0.0000 0.5000  2 Bi 3.08
4 Bi 0.0000 0.0000 0.0000  4 Li 2.57
5 C 0.5000 0.5000 0.5000  4 Ca 3.63, 8 Li 4.01

Output
- Energy relative to the elements: 913 meV/atom
- Space-group type: P4/mmm
- Magnetic moment: 3.0 μB/cell

A plane-wave DFT calculation with PBE was carried out for crystalline Ca2ScBiC at its relaxed geometry.

Unit cell a=5.0282 b=5.0282 c=4.5997 alpha=90.00 beta=90.00 gamma=90.00
With the nearest neighbours (Å) after each atom.
Sites, in units of the cell vectors:
1 Ca 0.0000 0.5000 0.0000  2 C 2.51
2 Ca 0.5000 0.0000 0.0000  2 C 2.51
3 Sc 0.0000 0.0000 0.5000  2 C 2.30
4 Bi 0.5000 0.5000 0.5000  8 Ca 3.41, 4 Sc 3.56
5 C 0.0000 0.0000 0.0000  2 Sc 2.30, 4 Ca 2.51

Output
- Energy relative to the elements: -471 meV/atom
- Space-group type: P4/mmm
- Magnetic moment: 0.0 μB/cell

Question: magnetic moment of number 2 (Li2CaBiC)?
Answer: 3.0 μB/cell